Record 1
The following is a DFT calculation (PBE) of NbReO after structural relaxation.

The calculation puts the total energy at -9.845 eV per atom. The calculation puts the density of states at the Fermi level at 0.80 states/eV/atom. The volume comes out at 172.6 Å³/cell. For the uncorrected formation energy, the calculation gives -0.6862 eV per atom.

The space group is C2/m (No. 12) and the conventional cell measures 7.817, 2.854 and 8.058 Å, with angles of 90.00, 106.26 and 90.00 degrees. The distinct sites, in fractional coordinates, are Nb at (0.178, 0.000, 0.321), Re at (0.116, 0.500, 0.928) and O at (0.030, 0.500, 0.667).

=====

Record 2
The following is a DFT calculation (PBE) of Li4NdHo after structural relaxation.

The calculation puts the total energy at -2.723 eV per atom. The calculation puts the density of states at the Fermi level at 1.01 states/eV/atom. The volume comes out at 577.2 Å³/cell. The calculation puts the energy relative to the elements at 0.11 eV per atom.

The space group is F-43m (No. 216) and the conventional cell measures 8.326, 8.326 and 8.326 Å, with angles of 90.00, 90.00 and 90.00 degrees. The distinct sites, in fractional coordinates, are Li at (0.125, 0.125, 0.125), Nd at (0.000, 0.000, 0.500) and Ho at (0.250, 0.250, 0.750).

=====

Record 3
The following is a DFT calculation (PBE) of Y2RuPb after structural relaxation.

The calculation puts the total energy at -6.766 eV per atom. The calculation puts the density of states at the Fermi level at 0.52 states/eV/atom. The volume comes out at 200.4 Å³/cell. The calculation puts the energy relative to the elements at -0.29 eV per atom.

The space group is Imm2 (No. 44) and the conventional cell measures 3.430, 4.863 and 12.014 Å, with angles of 90.00, 90.00 and 90.00 degrees. The distinct sites, in fractional coordinates, are Y at (0.000, 0.000, 0.000), Y at (0.000, 0.500, 0.204), Ru at (0.000, 0.000, 0.506) and Pb at (0.000, 0.500, 0.812).

=====

Record 4
The following is a DFT calculation (PBE) of Y2Zn3Cu12Si after structural relaxation.

The calculation puts the total energy at -3.887 eV per atom. The calculation puts the density of states at the Fermi level at 0.49 states/eV/atom. The volume comes out at 865.8 Å³/cell. For the uncorrected formation energy, the calculation gives 0.0756 eV per atom.

The space group is R-3m (No. 166, hexagonal axes) and the conventional cell measures 6.1694, 6.1694 and 26.2678 Å, with angles of 90.00, 90.00 and 120.00 degrees. The distinct sites, in fractional coordinates, are Y at (0.0000, 0.0000, 0.1489), Zn at (0.0000, 0.5000, 0.0000), Cu at (0.0398, 0.5199, 0.0994), Cu at (0.0740, 0.5370, 0.6167) and Si at (0.0000, 0.0000, 0.5000).

=====

Record 5
The following is a DFT calculation (PBE) of LaZn2Sn2 after structural relaxation.

The calculation puts the total energy at -3.400 eV per atom. The calculation puts the density of states at the Fermi level at 0.48 states/eV/atom. The volume comes out at 236.8 Å³/cell. The calculation puts the energy relative to the elements at -0.30 eV per atom.

The space group is P4/mbm (No. 127) and the conventional cell measures 8.128, 8.128 and 3.584 Å, with angles of 90.00, 90.00 and 90.00 degrees. The distinct sites, in fractional coordinates, are La at (0.000, 0.000, 0.000), Zn at (0.116, 0.384, 0.000) and Sn at (0.176, 0.676, 0.500).

=====

Record 6
The following is a DFT calculation (PBE) of La2NdSm6Mg after structural relaxation.

The calculation puts the total energy at -4.350 eV per atom. The calculation puts the density of states at the Fermi level at 1.38 states/eV/atom. The volume comes out at 1346.1 Å³/cell. The calculation puts the energy relative to the elements at 0.10 eV per atom.

The space group is C2/c (No. 15) and the conventional cell measures 9.322, 14.800 and 9.906 Å, with angles of 90.00, 99.96 and 90.00 degrees. The distinct sites, in fractional coordinates, are La at (0.250, 0.045, 0.051), Nd at (0.000, 0.009, 0.750), Sm at (0.072, 0.189, 0.447), Sm at (0.091, 0.398, 0.612), Sm at (0.209, 0.216, 0.809) and Mg at (0.000, 0.402, 0.250).

=====

Record 7
The following is a DFT calculation (PBE) of BaMn2NbSn after structural relaxation.

The calculation puts the total energy at -4.792 eV per atom. The calculation puts the density of states at the Fermi level at 1.04 states/eV/atom. The volume comes out at 135.3 Å³/cell. The calculation puts the energy relative to the elements at 2.08 eV per atom.

The space group is P4/mmm (No. 123) and the conventional cell measures 5.051, 5.051 and 5.302 Å, with angles of 90.00, 90.00 and 90.00 degrees. The distinct sites, in fractional coordinates, are Ba at (0.000, 0.000, 0.000), Mn at (0.000, 0.500, 0.000), Nb at (0.000, 0.000, 0.500) and Sn at (0.500, 0.500, 0.500).

=====

Record 8
The following is a DFT calculation (PBE) of La6ZnRu2Cl3 after structural relaxation.

The calculation puts the total energy at -5.579 eV per atom. The calculation puts the density of states at the Fermi level at 0.56 states/eV/atom. The volume comes out at 702.8 Å³/cell. For the uncorrected formation energy, the calculation gives -1.0018 eV per atom.

The space group is C2/m (No. 12) and the conventional cell measures 7.271, 12.607 and 8.037 Å, with angles of 90.00, 107.43 and 90.00 degrees. The distinct sites, in fractional coordinates, are La at (0.211, 0.000, 0.209), La at (0.249, 0.321, 0.209), Zn at (0.000, 0.500, 0.000), Ru at (0.000, 0.166, 0.000), Cl at (0.000, 0.000, 0.500) and Cl at (0.000, 0.330, 0.500).

=====

Record 9
The following is a DFT calculation (PBE) of CeDy2Ho8 after structural relaxation.

The calculation puts the total energy at -4.530 eV per atom. The calculation puts the density of states at the Fermi level at 1.98 states/eV/atom. The volume comes out at 720.4 Å³/cell. The calculation puts the energy relative to the elements at 0.18 eV per atom. The calculation puts the distance to the lowest polymorph of the same formula at 0.137 eV per atom.

The space group is C2/m (No. 12) and the conventional cell measures 19.001, 6.874 and 5.522 Å, with angles of 90.00, 92.85 and 90.00 degrees. The distinct sites, in fractional coordinates, are Ce at (0.000, 0.000, 0.000), Dy at (0.216, 0.500, 0.250), Ho at (0.047, 0.500, 0.238), Ho at (0.132, 0.265, 0.733) and Ho at (0.187, 0.000, 0.234).

=====

Record 10
The following is a DFT calculation (PBE) of Ca3WN4 after structural relaxation.

The calculation puts the total energy at -7.627 eV per atom. The calculation puts the density of states at the Fermi level at 0.00 states/eV/atom. The volume comes out at 269.6 Å³/cell. For the uncorrected formation energy, the calculation gives -1.0946 eV per atom.

The space group is Pmn2_1 (No. 31) and the conventional cell measures 7.646, 6.616 and 5.329 Å, with angles of 90.00, 90.00 and 90.00 degrees. The distinct sites, in fractional coordinates, are Ca at (0.000, 0.151, 0.000), Ca at (0.244, 0.328, 0.500), W at (0.000, 0.824, 0.463), N at (0.000, 0.106, 0.542), N at (0.000, 0.821, 0.114) and N at (0.212, 0.687, 0.546).

=====

Record 11
The following is a DFT calculation (PBE) of LiTe2IF after structural relaxation.

The calculation puts the total energy at -2.370 eV per atom. The calculation puts the density of states at the Fermi level at 0.83 states/eV/atom. The volume comes out at 129.0 Å³/cell. The calculation puts the distance to the lowest polymorph of the same formula at 0.352 eV per atom. For the uncorrected formation energy, the calculation gives -0.0460 eV per atom.

The space group is P4/mmm (No. 123) and the conventional cell measures 5.003, 5.003 and 5.155 Å, with angles of 90.00, 90.00 and 90.00 degrees. The distinct sites, in fractional coordinates, are Li at (0.000, 0.000, 0.000), Te at (0.000, 0.500, 0.000), I at (0.000, 0.000, 0.500) and F at (0.500, 0.500, 0.500).

=====

Record 12
The following is a DFT calculation (PBE) of KSi2Pb after structural relaxation.

The calculation puts the total energy at -3.302 eV per atom. The calculation puts the density of states at the Fermi level at 0.24 states/eV/atom. The volume comes out at 395.5 Å³/cell. For the uncorrected formation energy, the calculation gives 0.6110 eV per atom.

The space group is F-43m (No. 216) and the conventional cell measures 7.340, 7.340 and 7.340 Å, with angles of 90.00, 90.00 and 90.00 degrees. The distinct sites, in fractional coordinates, are K at (0.000, 0.000, 0.000), Si at (0.000, 0.000, 0.500), Si at (0.250, 0.250, 0.750) and Pb at (0.250, 0.250, 0.250).

=====

Record 13
The following is a DFT calculation (PBE) of KLaY2 after structural relaxation.

The calculation puts the total energy at -4.551 eV per atom. The calculation puts the density of states at the Fermi level at 1.27 states/eV/atom. The volume comes out at 465.3 Å³/cell. The calculation puts the energy relative to the elements at 0.19 eV per atom. The calculation puts the distance to the lowest polymorph of the same formula at 0.000 eV per atom.

The space group is R3m (No. 160, hexagonal axes) and the conventional cell measures 3.6817, 3.6817 and 39.6382 Å, with angles of 90.00, 90.00 and 120.00 degrees. The distinct sites, in fractional coordinates, are K at (0.0000, 0.0000, 0.0000), La at (0.0000, 0.0000, 0.2372), Y at (0.0000, 0.0000, 0.4973) and Y at (0.0000, 0.0000, 0.7595).

=====

Record 14
The following is a DFT calculation (PBE) of LaCu2Pt2 after structural relaxation.

The calculation puts the total energy at -5.633 eV per atom. The calculation puts the density of states at the Fermi level at 0.41 states/eV/atom. The volume comes out at 188.6 Å³/cell. The calculation puts the energy relative to the elements at -0.59 eV per atom. The calculation puts the distance to the lowest polymorph of the same formula at 0.000 eV per atom.

The space group is I4/mmm (No. 139) and the conventional cell measures 3.971, 3.971 and 11.959 Å, with angles of 90.00, 90.00 and 90.00 degrees. The distinct sites, in fractional coordinates, are La at (0.000, 0.000, 0.000), Cu at (0.000, 0.500, 0.250) and Pt at (0.000, 0.000, 0.388).

=====

Record 15
The following is a DFT calculation (PBE) of TcTe3 after structural relaxation.

The calculation puts the total energy at -4.915 eV per atom. The calculation puts the density of states at the Fermi level at 0.63 states/eV/atom. The volume comes out at 212.8 Å³/cell. The calculation puts the distance to the lowest polymorph of the same formula at 0.003 eV per atom. For the uncorrected formation energy, the calculation gives 0.0328 eV per atom.

The space group is Cmmm (No. 65) and the conventional cell measures 5.259, 9.931 and 4.074 Å, with angles of 90.00, 90.00 and 90.00 degrees. The distinct sites, in fractional coordinates, are Tc at (0.000, 0.000, 0.000), Te at (0.000, 0.179, 0.500) and Te at (0.000, 0.500, 0.000).

=====

Record 16
The following is a DFT calculation (PBE) of Li2Dy2HoGa2 after structural relaxation.

The calculation puts the total energy at -3.657 eV per atom. The calculation puts the density of states at the Fermi level at 0.68 states/eV/atom. The volume comes out at 478.1 Å³/cell. The calculation puts the energy relative to the elements at -0.28 eV per atom.

The space group is R-3m (No. 166, hexagonal axes) and the conventional cell measures 4.5820, 4.5820 and 26.2982 Å, with angles of 90.00, 90.00 and 120.00 degrees. The distinct sites, in fractional coordinates, are Li at (0.0000, 0.0000, 0.1043), Dy at (0.0000, 0.0000, 0.3741), Ho at (0.0000, 0.0000, 0.5000) and Ga at (0.0000, 0.0000, 0.2377).

=====

Record 17
The following is a DFT calculation (PBE) of NbTl2BiO8 after structural relaxation.

The calculation puts the total energy at -6.038 eV per atom. The calculation puts the density of states at the Fermi level at 0.35 states/eV/atom. The volume comes out at 172.9 Å³/cell. For the uncorrected formation energy, the calculation gives -1.1761 eV per atom.

The space group is P2/m (No. 10) and the conventional cell measures 5.072, 6.716 and 5.080 Å, with angles of 90.00, 92.30 and 90.00 degrees. The distinct sites, in fractional coordinates, are Nb at (0.000, 0.000, 0.000), Tl at (0.500, 0.243, 0.500), Bi at (0.000, 0.500, 0.000), O at (0.180, 0.236, 0.822), O at (0.284, 0.000, 0.286) and O at (0.297, 0.500, 0.300).

=====

Record 18
The following is a DFT calculation (PBE) of SrLiAs2Br after structural relaxation.

The calculation puts the total energy at -3.444 eV per atom. The calculation puts the density of states at the Fermi level at 0.68 states/eV/atom. The volume comes out at 127.2 Å³/cell. The calculation puts the distance to the lowest polymorph of the same formula at 0.000 eV per atom. For the uncorrected formation energy, the calculation gives -0.5304 eV per atom.

The space group is P4/mmm (No. 123) and the conventional cell measures 4.564, 4.564 and 6.106 Å, with angles of 90.00, 90.00 and 90.00 degrees. The distinct sites, in fractional coordinates, are Sr at (0.000, 0.000, 0.000), Li at (0.500, 0.500, 0.500), As at (0.000, 0.500, 0.500) and Br at (0.500, 0.500, 0.000).

=====

Record 19
The following is a DFT calculation (PBE) of SrZn2SnIr after structural relaxation.

The calculation puts the total energy at -3.666 eV per atom. The calculation puts the density of states at the Fermi level at 0.76 states/eV/atom. The volume comes out at 217.2 Å³/cell. The calculation puts the energy relative to the elements at -0.25 eV per atom. The calculation puts the distance to the lowest polymorph of the same formula at 0.018 eV per atom.

The space group is Imm2 (No. 44) and the conventional cell measures 4.214, 4.461 and 11.555 Å, with angles of 90.00, 90.00 and 90.00 degrees. The distinct sites, in fractional coordinates, are Sr at (0.000, 0.000, 0.000), Zn at (0.000, 0.000, 0.615), Zn at (0.000, 0.500, 0.236), Sn at (0.000, 0.000, 0.369) and Ir at (0.000, 0.500, 0.726).

=====

Record 20
The following is a DFT calculation (PBE) of Ho2Pu2Sc7 after structural relaxation.

The calculation puts the total energy at -7.288 eV per atom. The calculation puts the density of states at the Fermi level at 2.12 states/eV/atom. The volume comes out at 576.0 Å³/cell. The calculation puts the energy relative to the elements at 0.18 eV per atom.

The space group is C2/m (No. 12) and the conventional cell measures 8.302, 8.558 and 8.313 Å, with angles of 90.00, 102.79 and 90.00 degrees. The distinct sites, in fractional coordinates, are Ho at (0.108, 0.000, 0.365), Pu at (0.000, 0.168, 0.000), Sc at (0.000, 0.500, 0.500), Sc at (0.134, 0.500, 0.897) and Sc at (0.245, 0.179, 0.730).